Here is GaFe2O after structural relaxation from the Alexandria database. Energies are from GGA+U.

Values from the calculation:
Final energy in eV/cell: -17.438

Cell: 4.2717 4.2717 4.2717 Å, 60.00 60.00 60.00°
Site moments in Bohr magnetons follow the coordinates.
Fractional coordinates of all 4 atoms:
O (0.0000, 0.0000, 0.0000)  -0.15
Fe (0.2500, 0.2500, 0.2500)  3.26
Fe (0.7500, 0.7500, 0.7500)  3.26
Ga (0.5000, 0.5000, 0.5000)  -0.14

=====

Here is Mg6NbCrO8 after structural relaxation from the Alexandria database. Energies are from GGA+U.

Values from the calculation:
Energy above the lowest structure with this stoichiometry in eV/atom: 0.000

Cell: 4.3259 4.3259 8.8544 Å, 90.00 90.00 90.00°
Site moments in Bohr magnetons follow the coordinates.
Fractional coordinates of all 16 atoms:
Mg (0.0000, 0.0000, 0.5000)  0.00
Mg (0.5000, 0.5000, 0.5000)  0.00
Mg (0.0000, 0.5000, 0.2594)  0.00
Mg (0.0000, 0.5000, 0.7406)  0.00
Mg (0.5000, 0.0000, 0.2594)  0.00
Mg (0.5000, 0.0000, 0.7406)  0.00
Nb (0.0000, 0.0000, 0.0000)  -1.90
Cr (0.5000, 0.5000, 0.0000)  3.96
O (0.0000, 0.0000, 0.2584)  -0.02
O (0.0000, 0.0000, 0.7416)  -0.02
O (0.5000, 0.5000, 0.2671)  0.02
O (0.5000, 0.5000, 0.7329)  0.02
O (0.0000, 0.5000, 0.0000)  -0.06
O (0.0000, 0.5000, 0.5000)  0.00
O (0.5000, 0.0000, 0.0000)  -0.06
O (0.5000, 0.0000, 0.5000)  0.00